DFT (PBE) results for an optimized crystal structure of Tb3Pm2Co2.

Lattice parameters (Å, degrees): 12.187 3.672 9.017 90.00 116.27 90.00
Space group C2/m (No. 12)
Inequivalent atoms, fractional coordinates:
Tb 0.000 0.000 0.000 x2
Tb 0.118 0.000 0.424 x4
Pm 0.171 0.500 0.803 x4
Co 0.177 0.500 0.244 x4

Formation enthalpy at 0 K   -0.12 eV/atom
M_tot   0.0000 μB/atom
DOS(E_F)   15.8 states/eV/cell
Raw total energy   -5.4968 eV/atom